(1)
A relaxed structure of RbAsPtPb, computed with PBE.

Calculated values
Total magnetic moment in μB/atom: 0.00
Uncorrected energy in eV per atom: -4.24
Density in kg/m3: 7775
Formation energy from the elements in meV per atom: -395.9
SG: R3m, No. 160

Cell and atoms, written as POSCAR:
```
RbAsPtPb
1.0
4.3414 0.0000 0.0000
-2.1707 3.7598 0.0000
0.0000 0.0000 22.0871
Rb As Pt Pb
3 3 3 3
direct
0.0000 0.0000 0.0000
0.3333 0.6667 0.6667
0.6667 0.3333 0.3333
0.0000 0.0000 0.5573
0.3333 0.6667 0.2240
0.6667 0.3333 0.8907
0.0000 0.0000 0.2032
0.3333 0.6667 0.8699
0.6667 0.3333 0.5365
0.0000 0.0000 0.8028
0.3333 0.6667 0.4695
0.6667 0.3333 0.1362
```



(2)
A relaxed structure of TmPaGaO6, computed with PBE.

Calculated values
Total magnetic moment in μB/atom: 0.00
Uncorrected formation energy in kJ per mole of atoms: -265.1
Uncorrected energy in eV per atom: -7.94
Density in kg/m3: 7856
SG: P312, No. 149

Cell and atoms, written as POSCAR:
```
TmPaGaO6
1.0
5.3776 0.0000 0.0000
-2.6888 4.6571 0.0000
0.0000 0.0000 4.7743
Tm Pa Ga O
1 1 1 6
direct
0.0000 0.0000 0.0000
0.6667 0.3333 0.5000
0.3333 0.6667 0.0000
0.0136 0.3612 0.2372
0.0136 0.6524 0.7628
0.3476 0.3612 0.7628
0.3476 0.9864 0.2372
0.6388 0.6524 0.2372
0.6388 0.9864 0.7628
```



(3)
A relaxed structure of ErCuAu, computed with PBE.

Calculated values
Total magnetic moment in μB/atom: 0.00
Uncorrected energy in eV per atom: -4.47
Density in kg/m3: 11610
Formation energy from the elements in meV per atom: -494.3
SG: C2/m, No. 12

Cell and atoms, written as POSCAR:
```
ErCuAu
1.0
17.2753 0.0000 0.0000
0.0000 3.6271 0.0000
-0.4159 0.0000 3.9058
Er Cu Au
4 4 4
direct
0.1313 0.0000 0.3116
0.3687 0.5000 0.6884
0.6313 0.5000 0.3116
0.8687 0.0000 0.6884
0.2101 0.5000 0.8567
0.2899 0.0000 0.1433
0.7101 0.0000 0.8567
0.7899 0.5000 0.1433
0.0568 0.5000 0.7764
0.4432 0.0000 0.2236
0.5568 0.0000 0.7764
0.9432 0.5000 0.2236
```



(4)
A relaxed structure of Pm5Tl8Hg, computed with PBE.

Calculated values
Total magnetic moment in μB/atom: 0.00
Uncorrected energy in eV per atom: -3.28
Density in kg/m3: 10126
Formation energy from the elements in meV per atom: -207.4
SG: I-4, No. 82

Cell and atoms, written as POSCAR:
```
Pm5Tl8Hg
1.0
-4.7709 4.7709 4.6122
4.7709 -4.7709 4.6122
4.7709 4.7709 -4.6122
Pm Tl Hg
5 8 1
direct
0.0000 0.0000 0.0000
0.0974 0.4771 0.8507
0.5229 0.3735 0.6203
0.6265 0.2467 0.1493
0.7533 0.9026 0.3797
0.0682 0.3076 0.4153
0.2283 0.1250 0.7566
0.3471 0.9318 0.2393
0.3684 0.4717 0.2434
0.5283 0.7717 0.8967
0.6924 0.1077 0.7607
0.8750 0.6316 0.1033
0.8923 0.6529 0.5847
0.2500 0.7500 0.5000
```



(5)
A relaxed structure of AgTe2Cl, computed with PBE.

Calculated values
Total magnetic moment in μB/atom: 0.00
Uncorrected formation energy in kJ per mole of atoms: 7.6
Uncorrected energy in eV per atom: -2.67
Density in kg/m3: 6430
SG: P4mm, No. 99

Cell and atoms, written as POSCAR:
```
AgTe2Cl
1.0
3.3809 0.0000 0.0000
0.0000 3.3809 0.0000
0.0000 0.0000 9.0040
Ag Te Cl
1 2 1
direct
0.0000 0.0000 0.0000
0.0000 0.0000 0.5106
0.5000 0.5000 0.7692
0.5000 0.5000 0.1591
```



(6)
A relaxed structure of LiReSb2, computed with PBE.

Calculated values
Total magnetic moment in μB/atom: 0.00
Uncorrected formation energy in kJ per mole of atoms: 17.5
Uncorrected energy in eV per atom: -5.47
Density in kg/m3: 9015
SG: C2/m, No. 12

Cell and atoms, written as POSCAR:
```
LiReSb2
1.0
8.5080 0.0000 0.0000
0.0000 3.3057 0.0000
-1.0182 0.0000 5.7196
Li Re Sb
2 2 4
direct
0.0000 0.0000 0.0000
0.5000 0.5000 0.0000
0.0000 0.5000 0.5000
0.5000 0.0000 0.5000
0.2352 0.0000 0.7270
0.2648 0.5000 0.2730
0.7352 0.5000 0.7270
0.7648 0.0000 0.2730
```



(7)
A relaxed structure of Pr4TmCd2, computed with PBE.

Calculated values
Total magnetic moment in μB/atom: 0.00
Uncorrected energy in eV per atom: -3.63
Density in kg/m3: 6806
Formation energy from the elements in meV per atom: -0.2
SG: I4/mmm, No. 139

Cell and atoms, written as POSCAR:
```
Pr4TmCd2
1.0
7.4875 0.0000 0.0000
0.0000 7.4875 0.0000
0.0000 0.0000 8.3326
Pr Tm Cd
8 2 4
direct
0.2500 0.2500 0.2500
0.2500 0.2500 0.7500
0.2500 0.7500 0.2500
0.2500 0.7500 0.7500
0.7500 0.2500 0.2500
0.7500 0.2500 0.7500
0.7500 0.7500 0.2500
0.7500 0.7500 0.7500
0.0000 0.0000 0.0000
0.5000 0.5000 0.5000
0.0000 0.5000 0.0000
0.0000 0.5000 0.5000
0.5000 0.0000 0.0000
0.5000 0.0000 0.5000
```



(8)
A relaxed structure of Tb2Pm2YTm, computed with PBE.

Calculated values
Total magnetic moment in μB/atom: 0.00
Uncorrected energy in eV per atom: -4.89
Density in kg/m3: 7406
Formation energy from the elements in meV per atom: 61.7
SG: Pmma, No. 51

Cell and atoms, written as POSCAR:
```
Tb2Pm2YTm
1.0
7.0238 0.0000 0.0000
0.0000 5.6442 0.0000
0.0000 0.0000 9.7921
Tb Pm Y Tm
4 4 2 2
direct
0.2500 0.0000 0.1624
0.2500 0.5000 0.6691
0.7500 0.0000 0.8376
0.7500 0.5000 0.3309
0.0000 0.5000 0.0000
0.2500 0.0000 0.8251
0.5000 0.5000 0.0000
0.7500 0.0000 0.1749
0.0000 0.0000 0.5000
0.5000 0.0000 0.5000
0.2500 0.5000 0.3394
0.7500 0.5000 0.6606
```



(9)
A relaxed structure of YTmAu2, computed with PBE.

Calculated values
Total magnetic moment in μB/atom: 0.00
Uncorrected energy in eV per atom: -5.11
Density in kg/m3: 10538
Formation energy from the elements in meV per atom: -733.2
SG: R3m, No. 160

Cell and atoms, written as POSCAR:
```
YTmAu2
1.0
3.9765 0.0000 0.0000
-1.9883 3.4438 0.0000
0.0000 0.0000 22.5002
Y Tm Au
3 3 6
direct
0.0000 0.0000 0.0000
0.3333 0.6667 0.6667
0.6667 0.3333 0.3333
0.0000 0.0000 0.1689
0.3333 0.6667 0.8356
0.6667 0.3333 0.5022
0.0000 0.0000 0.5827
0.0000 0.0000 0.7524
0.3333 0.6667 0.2494
0.3333 0.6667 0.4191
0.6667 0.3333 0.0857
0.6667 0.3333 0.9160
```



(10)
A relaxed structure of Ti2Al2Fe, computed with PBE.

Calculated values
Total magnetic moment in μB/atom: 0.00
Uncorrected energy in eV per atom: -6.69
Density in kg/m3: 4321
Formation energy from the elements in meV per atom: -343.3
SG: I4_1/amd, No. 141

Cell and atoms, written as POSCAR:
```
Ti2Al2Fe
1.0
-2.0597 2.0597 9.3099
2.0597 -2.0597 9.3099
2.0597 2.0597 -9.3099
Ti Al Fe
4 4 2
direct
0.0538 0.3038 0.7500
0.3038 0.0538 0.2500
0.6962 0.9462 0.7500
0.9462 0.6962 0.2500
0.1990 0.4490 0.7500
0.4490 0.1990 0.2500
0.5510 0.8010 0.7500
0.8010 0.5510 0.2500
0.1250 0.8750 0.2500
0.8750 0.1250 0.7500
```



(11)
A relaxed structure of TlSnP3, computed with PBE.

Calculated values
Total magnetic moment in μB/atom: 0.00
Uncorrected energy in eV per atom: -3.62
Density in kg/m3: 5099
Formation energy from the elements in meV per atom: 904.2
SG: Pm-3m, No. 221

Cell and atoms, written as POSCAR:
```
TlSnP3
1.0
5.1359 0.0000 0.0000
0.0000 5.1359 0.0000
0.0000 0.0000 5.1359
Tl Sn P
1 1 3
direct
0.0000 0.0000 0.0000
0.5000 0.5000 0.5000
0.0000 0.5000 0.5000
0.5000 0.0000 0.5000
0.5000 0.5000 0.0000
```



(12)
A relaxed structure of Tc2NiSn2, computed with PBE.

Calculated values
Total magnetic moment in μB/atom: 0.17
Uncorrected energy in eV per atom: -6.68
Density in kg/m3: 9270
Formation energy from the elements in meV per atom: 225.6
SG: P4/mbm, No. 127

Cell and atoms, written as POSCAR:
```
Tc2NiSn2
1.0
6.5421 0.0000 0.0000
0.0000 6.5421 0.0000
0.0000 0.0000 4.1195
Tc Ni Sn
4 2 4
direct
0.1337 0.3663 0.0000
0.3663 0.8663 0.0000
0.6337 0.1337 0.0000
0.8663 0.6337 0.0000
0.0000 0.0000 0.0000
0.5000 0.5000 0.0000
0.1738 0.6738 0.5000
0.3262 0.1738 0.5000
0.6738 0.8262 0.5000
0.8262 0.3262 0.5000
```



Please write out number 8 again, unchanged.
A relaxed structure of Tb2Pm2YTm, computed with PBE.

Calculated values
Total magnetic moment in μB/atom: 0.00
Uncorrected energy in eV per atom: -4.89
Density in kg/m3: 7406
Formation energy from the elements in meV per atom: 61.7
SG: Pmma, No. 51

Cell and atoms, written as POSCAR:
```
Tb2Pm2YTm
1.0
7.0238 0.0000 0.0000
0.0000 5.6442 0.0000
0.0000 0.0000 9.7921
Tb Pm Y Tm
4 4 2 2
direct
0.2500 0.0000 0.1624
0.2500 0.5000 0.6691
0.7500 0.0000 0.8376
0.7500 0.5000 0.3309
0.0000 0.5000 0.0000
0.2500 0.0000 0.8251
0.5000 0.5000 0.0000
0.7500 0.0000 0.1749
0.0000 0.0000 0.5000
0.5000 0.0000 0.5000
0.2500 0.5000 0.3394
0.7500 0.5000 0.6606
```